# 1
Entry from the Alexandria database: an optimized crystal structure of NaMgTe2Au (PBEsol).

abc: 4.9263 5.4167 5.4167
angles: 90.00 90.00 90.00
Positions (direct):
Te 0.0000 0.0000 0.5000
Au 0.5000 0.0000 0.0000
Mg 0.5000 0.5000 0.5000
Te 0.0000 0.5000 0.0000
Na 0.0000 0.0000 0.0000

Summary:
**Fermi-level density of states**: 0.829 states/eV/atom
**Symmetry**: P4/mmm, No. 123
**Uncorrected formation energy**: 0.4902 eV per atom
**VASP energy**: -2.33 eV/atom

# 2
Entry from the Alexandria database: an optimized crystal structure of ScRh2Pb (PBEsol).

abc: 4.5593 4.5593 4.5593
angles: 60.00 60.00 60.00
Positions (direct):
Pb 0.0000 0.0000 0.0000
Rh 0.2500 0.2500 0.2500
Rh 0.7500 0.7500 0.7500
Sc 0.5000 0.5000 0.5000

Summary:
**Fermi-level density of states**: 1.081 states/eV/atom
**Symmetry**: Fm-3m, No. 225
**VASP energy**: -7.30 eV/atom
**Formation energy**: -579 meV/atom

# 3
Entry from the Alexandria database: an optimized crystal structure of TlAg3Sn (PBEsol).

abc: 5.1505 5.1505 5.1505
angles: 90.00 90.00 90.00
Positions (direct):
Ag 0.0000 0.0000 0.5000
Ag 0.5000 0.0000 0.0000
Sn 0.0000 0.0000 0.0000
Tl 0.5000 0.5000 0.5000
Ag 0.0000 0.5000 0.0000

Summary:
**Fermi-level density of states**: 0.188 states/eV/atom
**Symmetry**: Pm-3m, No. 221
**VASP energy**: -2.95 eV/atom
**Formation energy**: 415 meV/atom
**Energy above the lowest structure with this stoichiometry**: 0 meV per atom

# 4
Entry from the Alexandria database: an optimized crystal structure of LiLa4Ru (PBEsol).

abc: 6.1656 6.1656 6.1656
angles: 60.00 60.00 60.00
Positions (direct):
Ru 0.0000 0.0000 0.0000
Li 0.7500 0.7500 0.7500
La 0.8803 0.3732 0.3732
La 0.3732 0.3732 0.8803
La 0.3732 0.8803 0.3732
La 0.3732 0.3732 0.3732

Summary:
**Fermi-level density of states**: 1.967 states/eV/atom
**Symmetry**: F-43m, No. 216
**VASP energy**: -4.78 eV/atom
**Formation energy**: 805 meV/atom

# 5
Entry from the Alexandria database: an optimized crystal structure of KZn2Hg (PBEsol).

abc: 3.1106 3.9996 7.7963
angles: 90.00 101.58 90.00
Positions (direct):
K 0.3172 0.5000 0.7549
Zn 0.9925 0.0000 0.1140
Hg 0.6642 0.0000 0.4491
Zn 0.5262 0.5000 0.1819

Summary:
**Fermi-level density of states**: 0.399 states/eV/atom
**Symmetry**: Pm, No. 6
**VASP energy**: -1.16 eV/atom
**Formation energy**: 56 meV/atom